Entry 1:
Below is an optimized crystal structure of BaPdNF2, with properties calculated at the PBE level.

VASP energy: -4.221 eV/atom
Formation energy without anion corrections: -0.385 eV per atom
Symmetry: No. 123

```
BaPdNF2
1.0
4.940 0.000 0.000
0.000 4.940 0.000
0.000 0.000 6.481
Ba Pd N F
1 1 1 2
Direct
0.000 0.000 0.000
0.000 0.000 0.500
0.500 0.500 0.500
0.000 0.500 0.000
0.500 0.000 0.000
```

Entry 2:
Below is an optimized crystal structure of BaPdN2F, with properties calculated at the PBE level.

VASP energy: -3.865 eV/atom
Formation energy without anion corrections: 1.263 eV per atom
Symmetry: No. 123

```
BaPdN2F
1.0
4.840 0.000 0.000
0.000 4.840 0.000
0.000 0.000 4.817
Ba Pd N F
1 1 2 1
Direct
0.000 0.000 0.000
0.500 0.500 0.500
0.000 0.500 0.000
0.500 0.000 0.000
0.000 0.000 0.500
```

Entry 3:
Below is an optimized crystal structure of BaPdN2F, with properties calculated at the PBE level.

VASP energy: -5.434 eV/atom
Formation energy without anion corrections: -0.306 eV per atom
Symmetry: No. 123

```
BaPdN2F
1.0
3.918 0.000 0.000
0.000 3.918 0.000
0.000 0.000 5.362
Ba Pd N F
1 1 2 1
Direct
0.000 0.000 0.000
0.500 0.500 0.500
0.000 0.500 0.500
0.500 0.000 0.500
0.500 0.500 0.000
```

Entry 4:
Below is an optimized crystal structure of BaPdNF2, with properties calculated at the PBE level.

VASP energy: -5.201 eV/atom
Formation energy without anion corrections: -1.364 eV per atom
Symmetry: No. 123

```
BaPdNF2
1.0
4.674 0.000 0.000
0.000 4.674 0.000
0.000 0.000 3.816
Ba Pd N F
1 1 1 2
Direct
0.000 0.000 0.000
0.500 0.500 0.500
0.500 0.500 0.000
0.000 0.500 0.500
0.500 0.000 0.500
```

- Among the records above, which one has the lowest VASP energy?
  number 3

- Which formula does entry 1 have?
  BaPdNF2